w) MgFe2Tc2 after structural relaxation. Source: Alexandria via LeMat-Bulk, functional GGA-PBE.

Computed properties:
Symmetry = P4/mbm
Total magnetization = 0.00 μB per cell
Density of states at the Fermi level = 0.872 states/eV per atom

Structure (extended XYZ):
```
10
Lattice="-1.7397 -6.9621 0.1970 6.9464 -1.7492 -0.4738 0.1894 0.0283 2.6724" Properties=species:S:1:pos:R:3 pbc="T T T"
Mg 0.0000 0.0000 0.0000
Tc 0.9536 -6.3592 1.3428
Tc 0.6840 -2.5912 1.3220
Tc 4.4425 -2.3238 1.0528
Fe 5.4472 -4.1773 -0.3418
Fe 2.7834 -7.2066 -0.1209
Tc 4.7121 -6.0918 1.0736
Mg 2.6033 -4.3557 -0.1384
Fe 2.4233 -1.5047 -0.1558
Fe -0.2405 -4.5340 0.0651
```

x) MgFe2Tc2 after structural relaxation. Source: Alexandria via LeMat-Bulk, functional GGA-PBE.

Computed properties:
Symmetry = I4/mmm
Total magnetization = 0.57 μB per cell
Density of states at the Fermi level = 0.932 states/eV per atom

Structure (extended XYZ):
```
5
Lattice="-0.9648 1.5945 -3.5240 -0.0433 -3.6362 -1.6334 -5.2676 -1.4606 -1.4735" Properties=species:S:1:pos:R:3 pbc="T T T"
Mg 0.0000 0.0000 0.0000
Fe -3.3682 -0.4435 -3.7881
Tc -4.6043 -2.3737 -4.3230
Fe -2.9075 -3.0588 -2.8428
Tc -1.6714 -1.1286 -2.3078
```

On energetic grounds, w) is preferred over the next structure by 256 meV per atom.